[1]
RbPdCl3, optimized geometry, DFT GGA-PBE; DOS at the Fermi energy = 1.857 states/eV/f.u.; formation energy from raw total energies = -803 meV/atom; VASP energy = -15.72 eV/cell
1.0
3.863 0.000 0.000
0.000 4.197 6.965
0.000 -4.197 6.965
Rb Pd Cl
1 1 3
Direct
0.000 0.000 0.000
0.500 0.346 0.346
0.000 0.172 0.555
0.000 0.555 0.172
0.500 0.171 0.171

[2]
RbPdCl3, optimized geometry, DFT GGA-PBE; DOS at the Fermi energy = 0.000 states/eV/f.u.; formation energy from raw total energies = -981 meV/atom; VASP energy = -33.21 eV/cell
1.0
4.591 0.000 0.000
0.000 8.930 0.000
-2.034 0.000 8.546
Rb Pd Cl
2 2 6
Direct
0.113 0.250 0.207
0.887 0.750 0.793
0.363 0.250 0.738
0.637 0.750 0.262
0.104 0.750 0.188
0.355 0.509 0.721
0.355 0.991 0.721
0.645 0.009 0.279
0.645 0.491 0.279
0.896 0.250 0.812

[3]
RbPdCl, optimized geometry, DFT GGA-PBE; DOS at the Fermi energy = 0.000 states/eV/f.u.; formation energy from raw total energies = -780 meV/atom; VASP energy = -20.69 eV/cell
1.0
4.696 0.000 0.000
0.008 4.980 0.000
0.375 2.485 8.325
Rb Pd Cl
2 2 2
Direct
0.000 0.000 0.000
0.024 0.728 0.541
0.042 0.375 0.250
0.531 0.285 0.426
0.521 0.138 0.710
0.544 0.427 0.148

[4]
RbPdCl3, optimized geometry, DFT GGA-PBE; DOS at the Fermi energy = 0.000 states/eV/f.u.; formation energy from raw total energies = -768 meV/atom; VASP energy = -15.54 eV/cell
1.0
4.089 2.361 4.978
-4.089 2.361 4.978
0.000 -4.722 4.978
Rb Pd Cl
1 1 3
Direct
0.000 0.000 0.000
0.771 0.771 0.771
0.495 0.968 0.968
0.968 0.495 0.968
0.968 0.968 0.495

[5]
RbPdCl3, optimized geometry, DFT GGA-PBE; DOS at the Fermi energy = 0.000 states/eV/f.u.; formation energy from raw total energies = -1072 meV/atom; VASP energy = -68.24 eV/cell
1.0
8.887 0.000 0.000
0.000 6.966 0.000
-6.316 0.000 10.352
Rb Pd Cl
4 4 12
Direct
0.147 0.209 0.163
0.147 0.291 0.663
0.853 0.709 0.337
0.853 0.791 0.837
0.400 0.667 0.375
0.400 0.833 0.875
0.600 0.167 0.125
0.600 0.333 0.625
0.114 0.717 0.204
0.114 0.783 0.704
0.312 0.096 0.953
0.312 0.404 0.453
0.497 0.076 0.685
0.497 0.424 0.185
0.503 0.576 0.815
0.503 0.924 0.315
0.688 0.596 0.547
0.688 0.904 0.047
0.886 0.217 0.296
0.886 0.283 0.796

[6]
Rb2Pd3Cl9, optimized geometry, DFT GGA-PBE; DOS at the Fermi energy = 8.854 states/eV/f.u.; formation energy from raw total energies = -816 meV/atom; VASP energy = -91.10 eV/cell
1.0
5.380 -8.917 0.000
5.380 8.917 0.000
-4.155 0.000 9.340
Rb Pd Cl
4 6 18
Direct
0.068 0.736 0.687
0.264 0.932 0.313
0.736 0.068 0.687
0.932 0.264 0.313
0.244 0.451 0.834
0.350 0.350 0.145
0.451 0.244 0.834
0.549 0.756 0.166
0.650 0.650 0.855
0.756 0.549 0.166
0.016 0.613 0.344
0.129 0.319 0.980
0.202 0.202 0.283
0.224 0.224 0.700
0.311 0.689 0.000
0.319 0.129 0.980
0.387 0.984 0.656
0.402 0.589 0.717
0.411 0.598 0.283
0.589 0.402 0.717
0.598 0.411 0.283
0.613 0.016 0.344
0.681 0.871 0.020
0.689 0.311 0.000
0.776 0.776 0.300
0.798 0.798 0.717
0.871 0.681 0.020
0.984 0.387 0.656

[7]
RbPdCl3, optimized geometry, DFT GGA-PBE; DOS at the Fermi energy = 1.478 states/eV/f.u.; formation energy from raw total energies = -958 meV/atom; VASP energy = -32.98 eV/cell
1.0
4.969 0.000 0.000
0.000 7.682 0.000
-0.009 0.000 6.777
Rb Pd Cl
2 2 6
Direct
0.000 0.250 0.002
0.000 0.750 0.998
0.500 0.250 0.500
0.500 0.750 0.500
0.000 0.250 0.501
0.000 0.750 0.499
0.499 0.000 0.251
0.499 0.500 0.251
0.501 0.000 0.749
0.501 0.500 0.749

[8]
RbPd2Cl, optimized geometry, DFT GGA-PBE; DOS at the Fermi energy = 2.723 states/eV/f.u.; formation energy from raw total energies = 283 meV/atom; VASP energy = -12.07 eV/cell
1.0
0.000 3.514 3.514
3.514 0.000 3.514
3.514 3.514 0.000
Rb Pd Cl
1 2 1
Direct
0.000 0.000 0.000
0.250 0.250 0.250
0.750 0.750 0.750
0.500 0.500 0.500

[9]
RbPdCl, optimized geometry, DFT GGA-PBE; DOS at the Fermi energy = 0.123 states/eV/f.u.; formation energy from raw total energies = -613 meV/atom; VASP energy = -19.69 eV/cell
1.0
4.430 0.000 0.000
-2.215 3.836 0.000
0.000 0.000 9.503
Rb Pd Cl
2 2 2
Direct
0.000 0.000 0.000
0.000 0.000 0.500
0.333 0.667 0.250
0.667 0.333 0.750
0.333 0.667 0.750
0.667 0.333 0.250

[10]
RbPdCl3, optimized geometry, DFT GGA-PBE; DOS at the Fermi energy = 5.928 states/eV/f.u.; formation energy from raw total energies = -838 meV/atom; VASP energy = -31.78 eV/cell
1.0
3.555 -9.357 0.000
3.555 9.357 0.000
0.000 0.000 6.290
Rb Pd Cl
2 2 6
Direct
0.177 0.823 0.750
0.823 0.177 0.250
0.406 0.594 0.750
0.594 0.406 0.250
0.066 0.417 0.750
0.417 0.066 0.250
0.500 0.500 0.000
0.500 0.500 0.500
0.583 0.934 0.750
0.934 0.583 0.250

[11]
RbPdCl, optimized geometry, DFT GGA-PBE; DOS at the Fermi energy = 0.000 states/eV/f.u.; formation energy from raw total energies = -780 meV/atom; VASP energy = -20.69 eV/cell
1.0
5.673 0.000 0.000
0.000 4.680 0.000
0.000 0.000 6.773
Rb Pd Cl
2 2 2
Direct
0.250 0.000 0.210
0.750 0.000 0.790
0.000 0.500 0.500
0.500 0.500 0.500
0.250 0.500 0.785
0.750 0.500 0.215

[12]
RbPdCl, optimized geometry, DFT GGA-PBE; DOS at the Fermi energy = 0.000 states/eV/f.u.; formation energy from raw total energies = -755 meV/atom; VASP energy = -20.55 eV/cell
1.0
4.723 0.000 0.000
2.226 5.835 0.000
2.173 1.342 7.224
Rb Pd Cl
2 2 2
Direct
0.000 0.000 0.000
0.083 0.416 0.416
0.354 0.674 0.649
0.816 0.561 0.847
0.319 0.459 0.946
0.405 0.870 0.338